# 1
This record from the Alexandria database describes an optimized crystal structure of Ac2HfCu. The functional is PBE-GGA.

## Properties
Energy of formation from the pure elements, eV/atom: 0.652
Total energy, eV/f.u.: -19.660

```
Ac2HfCu
1.0
3.580 0.000 0.000
1.790 3.100 0.000
1.790 1.033 11.120
Hf Cu Ac
1 1 2
direct
0.000 0.000 0.000
0.500 0.500 0.500
0.903 0.903 0.291
0.097 0.097 0.709
```

=====

# 2
This record from the Alexandria database describes an optimized crystal structure of AcHfCu2. The functional is PBE-GGA.

## Properties
Energy of formation from the pure elements, eV/atom: -0.017
Total energy, eV/f.u.: -22.320
Relative energy among the computed polymorphs, meV/atom: 0

```
AcHfCu2
1.0
-0.485 1.449 -3.104
-0.611 -3.121 -1.361
-7.026 0.744 1.446
Cu Hf Ac
2 1 1
direct
0.000 0.000 0.183
0.000 0.000 0.817
0.500 0.500 0.000
0.500 0.500 0.500
```

=====

# 3
This record from the Alexandria database describes an optimized crystal structure of AcHfCu4. The functional is PBE-GGA.

## Properties
Energy of formation from the pure elements, eV/atom: 0.102
Total energy, eV/f.u.: -29.832

```
AcHfCu4
1.0
-1.846 3.309 -3.705
-5.218 0.786 -0.488
-2.124 4.644 1.416
Ac Hf Cu
1 1 4
direct
0.000 0.000 0.000
0.250 0.250 0.250
0.132 0.623 0.623
0.623 0.623 0.623
0.623 0.132 0.623
0.623 0.623 0.132
```

=====

# 4
This record from the Alexandria database describes an optimized crystal structure of AcHf2CuN4. The functional is PBE-GGA.

## Properties
Total energy, eV/f.u.: -71.458

```
AcHf2CuN4
1.0
-1.410 -0.532 2.997
5.549 -1.706 0.431
2.954 10.429 3.243
N Hf Cu Ac
8 4 2 2
direct
0.738 0.477 0.897
0.436 0.872 0.750
0.000 0.000 0.000
0.262 0.523 0.103
0.738 0.477 0.603
0.564 0.128 0.250
0.000 0.000 0.500
0.262 0.523 0.397
0.635 0.270 0.056
0.365 0.730 0.556
0.635 0.270 0.444
0.365 0.730 0.944
0.836 0.671 0.750
0.164 0.329 0.250
0.102 0.205 0.750
0.898 0.795 0.250
```

=====

# 5
This record from the Alexandria database describes an optimized crystal structure of Ac2HfCu2S6. The functional is PBE-GGA.

## Properties
Total energy, eV/f.u.: -65.068

```
Ac2HfCu2S6
1.0
-3.870 4.205 4.145
-2.258 -1.604 -6.494
-2.911 -4.859 2.212
Ac S Hf Cu
2 6 1 2
direct
0.667 0.333 0.712
0.333 0.667 0.288
0.927 0.676 0.246
0.073 0.324 0.754
0.749 0.073 0.246
0.324 0.251 0.246
0.676 0.749 0.754
0.251 0.927 0.754
0.000 0.000 0.000
0.333 0.667 0.795
0.667 0.333 0.205
```

=====

# 6
This record from the Alexandria database describes an optimized crystal structure of Ac2HfCuS5. The functional is PBE-GGA.

## Properties
Total energy, eV/f.u.: -58.084

```
Ac2HfCuS5
1.0
3.965 0.000 0.000
-1.983 8.550 0.000
0.000 0.000 11.932
S Ac Cu Hf
10 4 2 2
direct
0.296 0.592 0.661
0.306 0.613 0.369
0.954 0.908 0.540
0.046 0.092 0.040
0.694 0.387 0.869
0.502 0.003 0.273
0.656 0.312 0.510
0.704 0.408 0.161
0.498 0.997 0.773
0.344 0.688 0.010
0.118 0.237 0.697
0.874 0.748 0.818
0.882 0.763 0.197
0.126 0.252 0.318
0.564 0.128 0.941
0.436 0.872 0.441
0.811 0.622 0.515
0.189 0.378 0.015
```

=====

Question: Which value of total energy does entry 6 give?
Answer: -58.084 eV/f.u.